# Mg2InSb | Alexandria | PBE | relaxed
data_Mg2InSb
_chemical_formula_sum 'Mg8 In4 Sb4'
_space_group_name_H-M_alt 'F -4 3 m'
_space_group_IT_number 216
_space_group_name_Hall 'F -4 2 3'
_cell_length_a 7.4473
_cell_length_b 7.4473
_cell_length_c 7.4473
_cell_angle_alpha 90.00
_cell_angle_beta 90.00
_cell_angle_gamma 90.00
loop_
_atom_site_label
_atom_site_type_symbol
_atom_site_fract_x
_atom_site_fract_y
_atom_site_fract_z
Mg1 Mg 0.0000 0.0000 0.0000
Mg2 Mg 0.2500 0.2500 0.2500
In1 In 0.0000 0.0000 0.5000
Sb1 Sb 0.2500 0.2500 0.7500
# distance to the lowest polymorph of the same formula = 157 meV/atom
# formation energy without anion corrections = 0.006 eV/atom
# total energy = -2.507 eV per atom